1.
{
  "formula": "NaZnCl3",
  "functional": "PBE-GGA",
  "state": "relaxed",
  "dft_energy_ev_per_cell": -10.03,
  "space_group": "No. 221",
  "e_above_lowest_polymorph_mev_per_atom": 1024,
  "raw_formation_energy_mev_per_atom": -379,
  "total_magnetization_mub_per_cell": 0.00,
  "lattice": [[5.0723, 0.0000, 0.0000], [0.0000, 5.0723, 0.0000], [0.0000, 0.0000, 5.0723]],
  "species": ["Cl", "Cl", "Cl", "Zn", "Na"],
  "frac_coords": [[0.0000, 0.5000, 0.0000], [0.0000, 0.0000, 0.5000], [0.5000, 0.0000, 0.0000], [0.5000, 0.5000, 0.5000], [0.0000, 0.0000, 0.0000]]
}

2.
{
  "formula": "NaZnCl3",
  "functional": "PBE-GGA",
  "state": "relaxed",
  "dft_energy_ev_per_cell": -14.26,
  "space_group": "No. 221",
  "e_above_lowest_polymorph_mev_per_atom": 177,
  "raw_formation_energy_mev_per_atom": -1226,
  "total_magnetization_mub_per_cell": 0.00,
  "lattice": [[-1.8368, 4.0873, 2.0092], [-4.1852, -0.6603, -2.4830], [-1.7964, -2.6410, 3.7303]],
  "species": ["Cl", "Cl", "Cl", "Na", "Zn"],
  "frac_coords": [[0.0000, 0.0000, 0.5000], [0.0000, 0.5000, 0.0000], [0.5000, 0.0000, 0.0000], [0.5000, 0.5000, 0.5000], [0.0000, 0.0000, 0.0000]]
}

3.
{
  "formula": "NaZn2Cl6",
  "functional": "PBE-GGA",
  "state": "relaxed",
  "dft_energy_ev_per_cell": -48.74,
  "space_group": "No. 15",
  "raw_formation_energy_mev_per_atom": -1047,
  "total_magnetization_mub_per_cell": 2.06,
  "lattice": [[-3.9412, 4.7062, -2.2193], [-5.2462, 1.4998, 7.0545], [4.0957, 7.3687, 2.9097]],
  "species": ["Zn", "Zn", "Zn", "Zn", "Na", "Na", "Cl", "Cl", "Cl", "Cl", "Cl", "Cl", "Cl", "Cl", "Cl", "Cl", "Cl", "Cl"],
  "frac_coords": [[0.7289, 0.3827, 0.2153], [0.2711, 0.6173, 0.7847], [0.7711, 0.7847, 0.6173], [0.2289, 0.2153, 0.3827], [0.2500, 0.1212, 0.8788], [0.7500, 0.8788, 0.1212], [0.9367, 0.8660, 0.3828], [0.5633, 0.6172, 0.1340], [0.4367, 0.3828, 0.8660], [0.5241, 0.2862, 0.4373], [0.3194, 0.0452, 0.2016], [0.8194, 0.2016, 0.0452], [0.4759, 0.7138, 0.5627], [0.1806, 0.7984, 0.9548], [0.6806, 0.9548, 0.7984], [0.0241, 0.4373, 0.2862], [0.9759, 0.5627, 0.7138], [0.0633, 0.1340, 0.6172]]
}